A relaxed structure of FeTcS2Cl. Source: the Alexandria database, functional GGA-PBE.

Properties
Its space group is No. 123. The energy above the lowest structure with this stoichiometry is 0.098 eV/atom. For the uncorrected formation energy, the calculation gives 0.64 eV/atom. The value obtained for the mass density is 4.31 g cm⁻³.

abc: 4.561 4.561 4.697
angles: 90.00 90.00 90.00
Element x y z (fractional)
S 0.000 0.500 0.000
S 0.500 0.000 0.000
Cl 0.000 0.000 0.500
Tc 0.500 0.500 0.500
Fe 0.000 0.000 0.000